P:
Entry from OQMD: crystalline BeCoSiMo at its relaxed geometry (PBE).

Lattice parameters (Å, degrees): 4.029 4.029 4.029 60.00 60.00 60.00
Fractional coordinates of all 4 atoms:
Be 0.000 0.000 0.000
Co 0.750 0.750 0.750
Si 0.500 0.500 0.500
Mo 0.250 0.250 0.250

The value obtained for the total magnetization is 0.939 Bohr magnetons per cell.

***

Q:
Entry from OQMD: crystalline BeCoSiMo at its relaxed geometry (PBE).

Lattice parameters (Å, degrees): 4.049 4.049 4.049 60.00 60.00 60.00
Fractional coordinates of all 4 atoms:
Be 0.000 0.000 0.000
Co 0.500 0.500 0.500
Si 0.250 0.250 0.250
Mo 0.750 0.750 0.750

The value obtained for the total magnetization is 2.157 Bohr magnetons per cell.

***

Most favorable structure: P. The second most favorable one is 185 meV/atom above it.

***

P:
Entry from OQMD: crystalline BeTlCoMo at its relaxed geometry (PBE).

Lattice parameters (Å, degrees): 4.312 4.312 4.312 60.00 60.00 60.00
Fractional coordinates of all 4 atoms:
Be 0.000 0.000 0.000
Tl 0.250 0.250 0.250
Co 0.500 0.500 0.500
Mo 0.750 0.750 0.750

The value obtained for the total magnetization is 2.002 Bohr magnetons per cell.

***

Q:
Entry from OQMD: crystalline BeTlCoMo at its relaxed geometry (PBE).

Lattice parameters (Å, degrees): 4.376 4.376 4.376 60.00 60.00 60.00
Fractional coordinates of all 4 atoms:
Be 0.000 0.000 0.000
Tl 0.500 0.500 0.500
Co 0.750 0.750 0.750
Mo 0.250 0.250 0.250

The value obtained for the total magnetization is 2.426 Bohr magnetons per cell.

***

Most favorable structure: P. The second most favorable one is 174 meV/atom above it.

***

P:
Entry from OQMD: crystalline BeNbCoPb at its relaxed geometry (PBE).

Lattice parameters (Å, degrees): 4.410 4.410 4.410 60.00 60.00 60.00
Fractional coordinates of all 4 atoms:
Be 0.000 0.000 0.000
Nb 0.750 0.750 0.750
Co 0.500 0.500 0.500
Pb 0.250 0.250 0.250

The value obtained for the total magnetization is 0.311 Bohr magnetons per cell.

***

Q:
Entry from OQMD: crystalline BeNbCoPb at its relaxed geometry (PBE).

Lattice parameters (Å, degrees): 4.474 4.474 4.474 60.00 60.00 60.00
Fractional coordinates of all 4 atoms:
Be 0.000 0.000 0.000
Nb 0.250 0.250 0.250
Co 0.750 0.750 0.750
Pb 0.500 0.500 0.500

The value obtained for the total magnetization is 2.192 Bohr magnetons per cell.

***

Most favorable structure: P. The second most favorable one is 159 meV/atom above it.

***

P:
Entry from OQMD: crystalline BeNbCoSb at its relaxed geometry (PBE).

Lattice parameters (Å, degrees): 4.354 4.354 4.354 60.00 60.00 60.00
Fractional coordinates of all 4 atoms:
Be 0.000 0.000 0.000
Nb 0.750 0.750 0.750
Co 0.500 0.500 0.500
Sb 0.250 0.250 0.250

The value obtained for the total magnetization is 0.964 Bohr magnetons per cell.

***

Q:
Entry from OQMD: crystalline BeNbCoSb at its relaxed geometry (PBE).

Lattice parameters (Å, degrees): 4.396 4.396 4.396 60.00 60.00 60.00
Fractional coordinates of all 4 atoms:
Be 0.000 0.000 0.000
Nb 0.250 0.250 0.250
Co 0.750 0.750 0.750
Sb 0.500 0.500 0.500

The value obtained for the total magnetization is 1.589 Bohr magnetons per cell.

***

Most favorable structure: P. The second most favorable one is 23 meV/atom above it.

***

P:
Entry from OQMD: crystalline BeNbCoSi at its relaxed geometry (PBE).

Lattice parameters (Å, degrees): 4.113 4.113 4.113 60.00 60.00 60.00
Fractional coordinates of all 4 atoms:
Be 0.000 0.000 0.000
Nb 0.750 0.750 0.750
Co 0.500 0.500 0.500
Si 0.250 0.250 0.250

The value obtained for the total magnetization is 0.315 Bohr magnetons per cell.

***

Q:
Entry from OQMD: crystalline BeNbCoSi at its relaxed geometry (PBE).

Lattice parameters (Å, degrees): 4.121 4.121 4.121 60.00 60.00 60.00
Fractional coordinates of all 4 atoms:
Be 0.000 0.000 0.000
Nb 0.250 0.250 0.250
Co 0.750 0.750 0.750
Si 0.500 0.500 0.500

The value obtained for the total magnetization is 2.142 Bohr magnetons per cell.

***

Most favorable structure: Q. The second most favorable one is 19 meV/atom above it.

***

P:
Entry from OQMD: crystalline SrBeNbCo at its relaxed geometry (PBE).

Lattice parameters (Å, degrees): 4.532 4.532 4.532 60.00 60.00 60.00
Fractional coordinates of all 4 atoms:
Sr 0.000 0.000 0.000
Be 0.500 0.500 0.500
Nb 0.750 0.750 0.750
Co 0.250 0.250 0.250

The value obtained for the total magnetization is 0.040 Bohr magnetons per cell.

***

Q:
Entry from OQMD: crystalline SrBeNbCo at its relaxed geometry (PBE).

Lattice parameters (Å, degrees): 4.518 4.518 4.518 60.00 60.00 60.00
Fractional coordinates of all 4 atoms:
Sr 0.000 0.000 0.000
Be 0.250 0.250 0.250
Nb 0.750 0.750 0.750
Co 0.500 0.500 0.500

The value obtained for the total magnetization is 0.003 Bohr magnetons per cell.

***

Most favorable structure: Q. The second most favorable one is 287 meV/atom above it.

***

P:
Entry from OQMD: crystalline NdBeCo at its relaxed geometry (PBE).

Lattice parameters (Å, degrees): 4.321 4.321 4.321 60.00 60.00 60.00
Fractional coordinates of all 3 atoms:
Nd 0.000 0.000 0.000
Be 0.500 0.500 0.500
Co 0.750 0.750 0.750

The value obtained for the total magnetization is 0.002 Bohr magnetons per cell.

***

Q:
Entry from OQMD: crystalline NdBeCo at its relaxed geometry (PBE).

Lattice parameters (Å, degrees): 4.237 4.237 4.237 60.00 60.00 60.00
Fractional coordinates of all 3 atoms:
Nd 0.000 0.000 0.000
Be 0.750 0.750 0.750
Co 0.500 0.500 0.500

The value obtained for the total magnetization is 0.134 Bohr magnetons per cell.

***

Most favorable structure: P. The second most favorable one is 93 meV/atom above it.

***

P:
Entry from OQMD: crystalline BeCoNiSb at its relaxed geometry (PBE).

Lattice parameters (Å, degrees): 4.139 4.139 4.139 60.00 60.00 60.00
Fractional coordinates of all 4 atoms:
Be 0.000 0.000 0.000
Co 0.750 0.750 0.750
Ni 0.500 0.500 0.500
Sb 0.250 0.250 0.250

The value obtained for the total magnetization is 0.530 Bohr magnetons per cell.

***

Q:
Entry from OQMD: crystalline BeCoNiSb at its relaxed geometry (PBE).

Lattice parameters (Å, degrees): 4.118 4.118 4.118 60.00 60.00 60.00
Fractional coordinates of all 4 atoms:
Be 0.000 0.000 0.000
Co 0.250 0.250 0.250
Ni 0.750 0.750 0.750
Sb 0.500 0.500 0.500

The value obtained for the total magnetization is 0.022 Bohr magnetons per cell.

***

Most favorable structure: Q. The second most favorable one is 262 meV/atom above it.

***

P:
Entry from OQMD: crystalline BeTlCoNi at its relaxed geometry (PBE).

Lattice parameters (Å, degrees): 4.194 4.194 4.194 60.00 60.00 60.00
Fractional coordinates of all 4 atoms:
Be 0.000 0.000 0.000
Tl 0.250 0.250 0.250
Co 0.750 0.750 0.750
Ni 0.500 0.500 0.500

The value obtained for the total magnetization is 0.992 Bohr magnetons per cell.

***

Q:
Entry from OQMD: crystalline BeTlCoNi at its relaxed geometry (PBE).

Lattice parameters (Å, degrees): 4.187 4.187 4.187 60.00 60.00 60.00
Fractional coordinates of all 4 atoms:
Be 0.000 0.000 0.000
Tl 0.500 0.500 0.500
Co 0.750 0.750 0.750
Ni 0.250 0.250 0.250

The value obtained for the total magnetization is 0.444 Bohr magnetons per cell.

***

Most favorable structure: Q. The second most favorable one is 92 meV/atom above it.

***

P:
Entry from OQMD: crystalline BeZnCoNi at its relaxed geometry (PBE).

Lattice parameters (Å, degrees): 3.915 3.915 3.915 60.00 60.00 60.00
Fractional coordinates of all 4 atoms:
Be 0.000 0.000 0.000
Zn 0.750 0.750 0.750
Co 0.250 0.250 0.250
Ni 0.500 0.500 0.500

The value obtained for the total magnetization is 0.019 Bohr magnetons per cell.

***

Q:
Entry from OQMD: crystalline BeZnCoNi at its relaxed geometry (PBE).

Lattice parameters (Å, degrees): 3.893 3.893 3.893 60.00 60.00 60.00
Fractional coordinates of all 4 atoms:
Be 0.000 0.000 0.000
Zn 0.500 0.500 0.500
Co 0.750 0.750 0.750
Ni 0.250 0.250 0.250

The value obtained for the total magnetization is 0.110 Bohr magnetons per cell.

***

Most favorable structure: Q. The second most favorable one is 137 meV/atom above it.